BaTi (PBE, relaxed); Fermi-level density of states = 25.6 states/eV/cell; volume = 70.9 Å³/f.u.; excess energy over the best structure of this formula in the dataset = 0.199 eV/atom; E_form = 0.64 eV per atom; total magnetic moment = 0.12 μB per formula unit; crystal system = orthorhombic
1.0
10.8470 0.0000 0.0000
0.0000 8.3439 0.0000
0.0000 0.0000 6.2678
Ba Ti
8 8
Direct
0.6743 0.1433 0.2500
0.6743 0.8567 0.7500
0.3257 0.1433 0.2500
0.3257 0.8567 0.7500
0.1743 0.6433 0.2500
0.1743 0.3567 0.7500
0.8257 0.6433 0.2500
0.8257 0.3567 0.7500
0.0000 0.2204 0.2500
0.0000 0.7796 0.7500
0.5000 0.7204 0.2500
0.5000 0.2796 0.7500
0.0000 0.0000 0.0000
0.0000 0.0000 0.5000
0.5000 0.5000 0.0000
0.5000 0.5000 0.5000